## InAsBr (PBE)

Data for an optimized crystal structure of InAsBr.

## Properties
Polymorph energy (0 for the lowest one) ... 0.00 eV per formula unit
Formation energy without anion corrections ... -0.9 eV/f.u.

Cell lengths 8.4919, 8.4919, 4.9842 Å; angles 90.00, 90.00, 120.00 degrees
Last column: nearest neighbours and their distance in Å.
Space group P3_2 (No. 145)
Unique sites:
1 In 0.0198 0.4028 0.0000 [3 per cell]  2 As 2.90-2.95, 3 Br 2.94-3.08
2 As 0.5356 0.3130 0.0218 [3 per cell]  2 As 2.45
3 Br 0.1611 0.7820 0.8351 [3 per cell]  3 In 2.94-3.08

=====

## SrTcN3 (PBE)

Data for an optimized crystal structure of SrTcN3.

## Properties
Formation energy without anion corrections ... -1.7 eV/f.u.

Cell lengths 4.2105, 12.7195, 5.7187 Å; angles 90.00, 90.00, 90.00 degrees
Last column: nearest neighbours and their distance in Å.
Space group C222_1 (No. 20)
Unique sites:
1 Sr 0.0000 0.1310 0.2500 [4 per cell]  4 N 2.65-2.92
2 Tc 0.0000 0.4051 0.2500 [4 per cell]  4 N 1.88-1.95
3 N 0.0441 0.5000 0.0000 [4 per cell]  2 Tc 1.88
4 N 0.1511 0.1958 0.7456 [8 per cell]  1 N 1.27

=====

## K5NaHg4 (PBE)

Data for an optimized crystal structure of K5NaHg4.

## Properties
Polymorph energy (0 for the lowest one) ... 0.24 eV per formula unit

Cell lengths 4.3304, 4.3304, 21.4389 Å; angles 90.00, 90.00, 90.00 degrees
Last column: nearest neighbours and their distance in Å.
Space group P4/mmm (No. 123)
Unique sites:
1 K 0.0000 0.0000 0.0000 [1 per cell]  8 Hg 3.69, 2 K 4.10
2 K 0.0000 0.0000 0.1910 [2 per cell]  8 Hg 3.66-3.68, 2 K 4.05-4.10
3 K 0.0000 0.0000 0.3801 [2 per cell]  4 Hg 3.69, 4 Na 4.00, 1 K 4.05
4 Na 0.5000 0.5000 0.5000 [1 per cell]  8 K 4.00, 4 Na 4.33
5 Hg 0.5000 0.5000 0.0957 [2 per cell]  8 K 3.68-3.69, 2 Hg 4.04-4.11
6 Hg 0.5000 0.5000 0.2844 [2 per cell]  8 K 3.66-3.69, 1 Hg 4.04

=====

## TcSeN2O (PBE)

Data for an optimized crystal structure of TcSeN2O.

## Properties
Formation energy without anion corrections ... 7.4 eV/f.u.

Cell lengths 3.9270, 3.9270, 3.7285 Å; angles 90.00, 90.00, 90.00 degrees
Last column: nearest neighbours and their distance in Å.
Space group P4/mmm (No. 123)
Unique sites:
1 Tc 0.0000 0.0000 0.0000 [1 per cell]  8 N 2.71, 4 O 2.78
2 Se 0.5000 0.5000 0.5000 [1 per cell]  2 O 1.86, 4 N 1.96
3 N 0.0000 0.5000 0.5000 [2 per cell]  2 Se 1.96
4 O 0.5000 0.5000 0.0000 [1 per cell]  2 Se 1.86

=====

## Pm2Ag2P3 (PBE)

Data for an optimized crystal structure of Pm2Ag2P3.

## Properties
Energy ... -148.92 eV for the cell shown

Cell lengths 15.1621, 4.1762, 11.6019 Å; angles 90.00, 125.66, 90.00 degrees
Last column: nearest neighbours and their distance in Å.
Space group C2/m (No. 12)
Unique sites:
1 Pm 0.1086 0.0000 0.4462 [4 per cell]  5 P 2.85-3.07, 1 Ag 3.19
2 Pm 0.2361 0.0000 0.8370 [4 per cell]  6 P 2.84-3.11
3 Ag 0.0499 0.5000 0.8178 [4 per cell]  4 P 2.57-2.68
4 Ag 0.0894 0.0000 0.1573 [4 per cell]  4 P 2.52-2.73
5 P 0.0758 0.5000 0.6120 [4 per cell]  1 P 2.25
6 P 0.1302 0.0000 0.9756 [4 per cell]  4 Ag 2.52-2.73
7 P 0.1666 0.5000 0.3244 [4 per cell]  3 Ag 2.62-2.68, 1 Pm 2.85

=====

## Na3Mn2GaSe6 (PBE)

Data for an optimized crystal structure of Na3Mn2GaSe6.

## Properties
Formation energy without anion corrections ... -8.6 eV/f.u.

Cell lengths 6.5841, 11.3988, 7.3208 Å; angles 90.00, 107.48, 90.00 degrees
Last column: nearest neighbours and their distance in Å.
Space group C2/m (No. 12)
Unique sites:
1 Na 0.0000 0.0000 0.0000 [2 per cell]  6 Se 3.01
2 Na 0.0000 0.3335 0.0000 [4 per cell]  6 Se 3.01-3.02
3 Mn 0.0000 0.1665 0.5000 [4 per cell]  6 Se 2.61-2.62
4 Ga 0.0000 0.5000 0.5000 [2 per cell]  6 Se 2.62
5 Se 0.2338 0.0000 0.7042 [4 per cell]  2 Mn 2.61, 1 Ga 2.62
6 Se 0.2352 0.3329 0.7044 [8 per cell]  2 Mn 2.62, 1 Ga 2.62

=====

## Y2PdPt2 (PBE)

Data for an optimized crystal structure of Y2PdPt2.

## Properties
Polymorph energy (0 for the lowest one) ... 1.23 eV per formula unit

Cell lengths 3.7965, 3.7965, 15.5152 Å; angles 90.00, 90.00, 90.00 degrees
Last column: nearest neighbours and their distance in Å.
Space group I4/mmm (No. 139)
Unique sites:
1 Y 0.0000 0.0000 0.1094 [4 per cell]  4 Pt 2.89, 4 Pd 3.18
2 Pd 0.0000 0.0000 0.5000 [2 per cell]  8 Y 3.18
3 Pt 0.0000 0.5000 0.2500 [4 per cell]  4 Pt 2.68, 4 Y 2.89

=====

## B2MoIr (PBE)

Data for an optimized crystal structure of B2MoIr.

## Properties
Polymorph energy (0 for the lowest one) ... 0.00 eV per formula unit

Cell lengths 5.5250, 5.5250, 5.5250 Å; angles 90.00, 90.00, 90.00 degrees
Last column: nearest neighbours and their distance in Å.
Space group Fm-3m (No. 225)
Unique sites:
1 B 0.2500 0.2500 0.2500 [8 per cell]  4 Mo 2.39, 4 Ir 2.39
2 Mo 0.0000 0.0000 0.0000 [4 per cell]  8 B 2.39
3 Ir 0.0000 0.0000 0.5000 [4 per cell]  8 B 2.39

=====

Please write out number 8 again, unchanged.
## B2MoIr (PBE)

Data for an optimized crystal structure of B2MoIr.

## Properties
Polymorph energy (0 for the lowest one) ... 0.00 eV per formula unit

Cell lengths 5.5250, 5.5250, 5.5250 Å; angles 90.00, 90.00, 90.00 degrees
Last column: nearest neighbours and their distance in Å.
Space group Fm-3m (No. 225)
Unique sites:
1 B 0.2500 0.2500 0.2500 [8 per cell]  4 Mo 2.39, 4 Ir 2.39
2 Mo 0.0000 0.0000 0.0000 [4 per cell]  8 B 2.39
3 Ir 0.0000 0.0000 0.5000 [4 per cell]  8 B 2.39